## MgVAgO4 (PBE with a Hubbard U)

Data for crystalline MgVAgO4 at its relaxed geometry.

Summary:
DOS(E_F) = 0.0000 states/eV per atom
energy = -6.29 eV per atom
density = 4.68 g cm⁻³

The structure in CIF format:
```
data_MgVAgO4
_chemical_formula_sum 'Mg4 V4 Ag4 O16'
_cell_length_a 9.586
_cell_length_b 6.796
_cell_length_c 5.389
_cell_angle_alpha 90.00
_cell_angle_beta 90.00
_cell_angle_gamma 90.00
_symmetry_space_group_name_H-M 'P n m a'
_symmetry_Int_Tables_number 62
loop_
_symmetry_equiv_pos_as_xyz
'x,y,z'
'-x,-y,-z'
'-x+1/2,-y,z+1/2'
'x+1/2,y,-z+1/2'
'x+1/2,-y+1/2,-z+1/2'
'-x+1/2,y+1/2,z+1/2'
'-x,y+1/2,-z'
'x,-y+1/2,z'
loop_
_atom_site_label
_atom_site_fract_x
_atom_site_fract_y
_atom_site_fract_z
_atom_site_occupancy
Mg1 0.000 0.000 0.000 1
V1 0.179 0.250 0.476 1
Ag1 0.152 0.750 0.501 1
O1 0.114 0.050 0.315 1
O2 0.115 0.250 0.786 1
O3 0.134 0.750 0.939 1
```